[1]
DFT (GGA-PBE) results for a geometry-optimized Ti4AlMo structure.

SG	Immm (71)
DOS at the Fermi energy	5.46	states/eV/cell
energy relative to the elements	-0.086	eV per atom
magnetization	0.000	μB/atom
calculated volume	97	Å³/cell
offset from the most stable computed form	0.0	meV per atom

abc: 5.2860 5.2860 5.2860
angles: 129.01 118.26 84.09
Positions (direct):
Ti 0.0837 0.8360 0.2477
Ti 0.4116 0.1640 0.2477
Ti 0.5884 0.8360 0.7523
Ti 0.9163 0.1640 0.7523
Al 0.5000 0.5000 0.0000
Mo 0.0000 0.5000 0.5000

[2]
DFT (GGA-PBE) results for a geometry-optimized Th6Si2PS3 structure.

ΔE_f (raw)	-1423	meV per atom
SG	C2/m (12)
DOS at the Fermi energy	7.93	states/eV/cell
magnetization	0.000	μB/atom
calculated volume	302	Å³/cell

abc: 9.2236 9.2236 8.2158
angles: 101.78 101.78 26.20
Positions (direct):
Th 0.0006 0.0006 0.2531
Th 0.3333 0.3333 0.9160
Th 0.3347 0.3347 0.4182
Th 0.6653 0.6653 0.5818
Th 0.6667 0.6667 0.0840
Th 0.9994 0.9994 0.7469
Si 0.1658 0.1658 0.8320
Si 0.8342 0.8342 0.1680
P 0.5000 0.5000 0.5000
S 0.1679 0.1679 0.3343
S 0.5000 0.5000 0.0000
S 0.8321 0.8321 0.6657

[3]
DFT (GGA-PBE) results for a geometry-optimized CeLu3Fe structure.

SG	Pm-3m (221)
DOS at the Fermi energy	10.55	states/eV/cell
energy relative to the elements	0.116	eV per atom
magnetization	0.253	μB/atom
calculated volume	137	Å³/cell

abc: 5.1577 5.1577 5.1577
angles: 90.00 90.00 90.00
Positions (direct):
Ce 0.0000 0.0000 0.0000
Lu 0.0000 0.5000 0.5000
Lu 0.5000 0.0000 0.5000
Lu 0.5000 0.5000 0.0000
Fe 0.5000 0.5000 0.5000

[4]
DFT (GGA-PBE) results for a geometry-optimized Na2TlB2O6 structure.

ΔE_f (raw)	-1671	meV per atom
SG	P-3 (147)
DOS at the Fermi energy	2.68	states/eV/cell
magnetization	0.094	μB/atom
calculated volume	149	Å³/cell

abc: 5.2677 5.2677 6.1960
angles: 90.00 90.00 120.00
Positions (direct):
Na 0.3333 0.6667 0.3576
Na 0.6667 0.3333 0.6424
Tl 0.0000 0.0000 0.0000
B 0.3333 0.6667 0.8005
B 0.6667 0.3333 0.1995
O 0.0888 0.3917 0.7864
O 0.3030 0.9112 0.7864
O 0.3917 0.3030 0.2136
O 0.6083 0.6970 0.7864
O 0.6970 0.0888 0.2136
O 0.9112 0.6083 0.2136

[5]
DFT (GGA-PBE) results for a geometry-optimized Ce2Er3Tl3 structure.

SG	C2/m (12)
DOS at the Fermi energy	12.49	states/eV/cell
energy relative to the elements	-0.211	eV per atom
magnetization	0.106	μB/atom
calculated volume	221	Å³/cell

abc: 11.6567 11.6567 5.3795
angles: 102.00 102.00 18.05
Positions (direct):
Ce 0.2432 0.2432 0.1902
Ce 0.7568 0.7568 0.8098
Er 0.0000 0.0000 0.0000
Er 0.1225 0.1225 0.5518
Er 0.8775 0.8775 0.4482
Tl 0.3791 0.3791 0.9583
Tl 0.5000 0.5000 0.5000
Tl 0.6209 0.6209 0.0417

[6]
DFT (GGA-PBE) results for a geometry-optimized UPa2Zn structure.

SG	P4/mmm (123)
DOS at the Fermi energy	7.73	states/eV/cell
energy relative to the elements	-0.015	eV per atom
magnetization	0.000	μB/atom
calculated volume	87	Å³/cell
offset from the most stable computed form	0.0	meV per atom

abc: 5.2886 5.2886 3.1080
angles: 90.00 90.00 90.00
Positions (direct):
U 0.0000 0.0000 0.0000
Pa 0.0000 0.5000 0.5000
Pa 0.5000 0.0000 0.5000
Zn 0.5000 0.5000 0.0000

[7]
DFT (GGA-PBE) results for a geometry-optimized ScTlBi2 structure.

SG	Fm-3m (225)
DOS at the Fermi energy	4.38	states/eV/cell
energy relative to the elements	-0.082	eV per atom
magnetization	0.000	μB/atom
calculated volume	116	Å³/cell
offset from the most stable computed form	172.2	meV per atom

abc: 5.4750 5.4750 5.4750
angles: 60.00 60.00 60.00
Positions (direct):
Sc 0.0000 0.0000 0.0000
Tl 0.5000 0.5000 0.5000
Bi 0.2500 0.2500 0.2500
Bi 0.7500 0.7500 0.7500

[8]
DFT (GGA-PBE) results for a geometry-optimized Ru2PtW2 structure.

SG	P4/mbm (127)
DOS at the Fermi energy	5.03	states/eV/cell
energy relative to the elements	0.069	eV per atom
magnetization	0.000	μB/atom
calculated volume	157	Å³/cell
offset from the most stable computed form	0.0	meV per atom

abc: 7.3609 7.3609 2.8903
angles: 90.00 90.00 90.00
Positions (direct):
Ru 0.1320 0.3680 0.0000
Ru 0.3680 0.8680 0.0000
Ru 0.6320 0.1320 0.0000
Ru 0.8680 0.6320 0.0000
Pt 0.0000 0.0000 0.0000
Pt 0.5000 0.5000 0.0000
W 0.1669 0.6669 0.5000
W 0.3331 0.1669 0.5000
W 0.6669 0.8331 0.5000
W 0.8331 0.3331 0.5000